NaZr2Ag2, relaxed, DFT GGA-PBE; final energy = -4.6517 eV per atom; energy above the most stable polymorph in this dataset = 2.2 meV per atom; formation energy = 172 meV per atom
1.0
8.8024 0.0000 0.0000
0.0000 8.8024 0.0000
0.0000 0.0000 2.9012
Ag Zr Na
4 4 2
Cartesian
2.9190 1.4821 1.4506
1.4821 5.8833 1.4506
5.8833 7.3202 1.4506
7.3202 2.9190 1.4506
1.1176 3.2836 0.0000
3.2836 7.6848 0.0000
5.5188 1.1176 0.0000
7.6848 5.5188 0.0000
0.0000 0.0000 0.0000
4.4012 4.4012 0.0000